[1]
YMoOs2: optimized geometry, PBE-GGA.

```
4
Lattice="3.105 0.000 0.000 0.000 3.105 0.000 0.000 0.000 7.318" Properties=species:S:1:pos:R:3 pbc="T T T"
Y 0.000 0.000 0.000
Mo 0.000 0.000 3.659
Os 1.553 1.553 2.137
Os 1.553 1.553 5.180
```

Properties
Its crystal system is tetragonal. The formation energy is 0.07 eV/atom. The total energy is -9.864 eV/atom.

[2]
MgTl2InIr: optimized geometry, PBE-GGA.

```
5
Lattice="5.291 0.000 0.000 0.000 5.291 0.000 0.000 0.000 5.083" Properties=species:S:1:pos:R:3 pbc="T T T"
Mg 0.000 0.000 0.000
Tl 0.000 2.646 2.541
Tl 2.646 0.000 2.541
In 2.646 2.646 0.000
Ir 0.000 0.000 2.541
```

Properties
Its crystal system is tetragonal. The formation energy is 0.11 eV/atom. The total energy is -3.475 eV/atom.

[3]
K4U3Se8: optimized geometry, PBE-GGA.

```
15
Lattice="4.297 2.481 8.189 -4.297 2.481 8.189 0.000 -4.962 8.189" Properties=species:S:1:pos:R:3 pbc="T T T"
K 0.000 0.000 0.000
K 0.000 0.000 3.520
K 0.000 0.000 12.284
K 0.000 0.000 21.048
U -2.149 -1.241 8.189
U -2.149 1.241 16.378
U 0.000 2.481 8.189
Se 0.000 -2.231 9.772
Se -1.932 1.116 9.772
Se 0.000 0.000 6.699
Se -1.932 -1.116 14.795
Se 1.932 1.116 9.772
Se 0.000 0.000 17.869
Se 1.932 -1.116 14.795
Se 0.000 2.231 14.795
```

Properties
Its crystal system is trigonal. The total energy is -5.634 eV/atom. For the raw formation energy, the calculation gives -118 kJ per mole of atoms.